# 1
{
  "formula": "TlCd2In",
  "functional": "SCAN",
  "state": "single point on PBEsol structure",
  "cell": [[-2.302, 2.302, 4.529], [2.302, -2.302, 4.529], [2.302, 2.302, -4.529]],
  "species": ["Tl", "Cd", "Cd", "In"],
  "fractional_positions": [[0.000, 0.000, 0.000], [0.250, 0.750, 0.500], [0.750, 0.250, 0.500], [0.500, 0.500, 0.000]],
  "relative_energy_mev_per_atom": 35,
  "space_group": "I4/mmm"
}



# 2
{
  "formula": "TlCd2In",
  "functional": "SCAN",
  "state": "single point on PBEsol structure",
  "cell": [[0.000, 3.656, 3.656], [3.656, 0.000, 3.656], [3.656, 3.656, 0.000]],
  "species": ["Tl", "Cd", "Cd", "In"],
  "fractional_positions": [[0.000, 0.000, 0.000], [0.500, 0.500, 0.500], [0.750, 0.750, 0.750], [0.250, 0.250, 0.250]],
  "relative_energy_mev_per_atom": 75,
  "space_group": "F-43m"
}



# 3
{
  "formula": "TlCd2In",
  "functional": "SCAN",
  "state": "single point on PBEsol structure",
  "cell": [[3.222, 0.000, 0.000], [0.000, 4.617, 0.000], [-0.286, 0.000, 6.472]],
  "species": ["Tl", "Cd", "Cd", "In"],
  "fractional_positions": [[0.000, 0.000, 0.000], [0.498, 0.500, 0.743], [0.502, 0.500, 0.257], [0.000, 0.000, 0.500]],
  "relative_energy_mev_per_atom": 31,
  "space_group": "P2/m"
}



# 4
{
  "formula": "TlCdIn2",
  "functional": "SCAN",
  "state": "single point on PBEsol structure",
  "cell": [[-2.302, 2.302, 4.704], [2.302, -2.302, 4.704], [2.302, 2.302, -4.704]],
  "species": ["Tl", "Cd", "In", "In"],
  "fractional_positions": [[0.000, 0.000, 0.000], [0.750, 0.250, 0.500], [0.250, 0.750, 0.500], [0.500, 0.500, 0.000]],
  "space_group": "I-4m2",
  "total_energy_ev_per_atom": -42.3014
}



# 5
{
  "formula": "TlCd2In",
  "functional": "SCAN",
  "state": "single point on PBEsol structure",
  "cell": [[1.600, 0.924, 10.799], [-1.600, 0.924, 10.799], [0.000, -1.847, 10.799]],
  "species": ["Tl", "Cd", "Cd", "In"],
  "fractional_positions": [[0.000, 0.000, 0.000], [0.495, 0.495, 0.495], [0.753, 0.753, 0.753], [0.242, 0.242, 0.242]],
  "relative_energy_mev_per_atom": 17,
  "space_group": "R3m"
}



# 6
{
  "formula": "TlCdIn2",
  "functional": "SCAN",
  "state": "single point on PBEsol structure",
  "cell": [[3.253, 0.000, 0.000], [0.000, 4.512, 0.000], [0.000, 0.000, 6.792]],
  "species": ["Tl", "Cd", "In", "In"],
  "fractional_positions": [[0.000, 0.000, 0.000], [0.500, 0.500, 0.252], [0.000, 0.000, 0.485], [0.500, 0.500, 0.736]],
  "space_group": "Pmm2",
  "total_energy_ev_per_atom": -42.3070
}



# 7
{
  "formula": "TlCd2In",
  "functional": "SCAN",
  "state": "single point on PBEsol structure",
  "cell": [[3.261, -4.367, 0.000], [3.261, 4.367, 0.000], [-0.013, 0.000, 3.359]],
  "species": ["Tl", "Cd", "Cd", "In"],
  "fractional_positions": [[0.000, 0.000, 0.000], [0.000, 0.500, 0.500], [0.500, 0.000, 0.500], [0.500, 0.500, 0.000]],
  "relative_energy_mev_per_atom": 30,
  "space_group": "C2/m"
}



# 8
{
  "formula": "TlCd2In",
  "functional": "SCAN",
  "state": "single point on PBEsol structure",
  "cell": [[0.000, 3.659, 3.659], [3.659, 0.000, 3.659], [3.659, 3.659, 0.000]],
  "species": ["Tl", "Cd", "Cd", "In"],
  "fractional_positions": [[0.000, 0.000, 0.000], [0.250, 0.250, 0.250], [0.750, 0.750, 0.750], [0.500, 0.500, 0.500]],
  "relative_energy_mev_per_atom": 52,
  "space_group": "Fm-3m"
}



| no. | size of the total moment (Bohr magnetons per cell) |
| --- | --- |
| 1 | 0.0 |
| 2 | 0.0 |
| 3 | 0.0 |
| 4 | 0.0 |
| 5 | 0.0 |
| 6 | 0.0 |
| 7 | 0.0 |
| 8 | 0.0 |